(1)
Material: BaTePd3
Method: DFT, PBE
State: optimized geometry

```
5
Lattice="5.1064 0.0000 0.0000 0.0000 5.1064 0.0000 0.0000 0.0000 5.1064" Properties=species:S:1:pos:R:3 pbc="T T T"
Ba 2.5532 2.5532 2.5532
Pd 0.0000 0.0000 2.5532
Pd 2.5532 0.0000 0.0000
Pd 0.0000 2.5532 0.0000
Te 0.0000 0.0000 0.0000
```

Computed properties:
Formation energy (no corrections), meV per atom: -489.1
V, Å³ per atom: 26.63
DFT total energy, eV per atom: -4.618
Space group: Pm-3m (221)



(2)
Material: DyB11
Method: DFT, PBE
State: optimized geometry

```
24
Lattice="-7.0450 -5.2710 0.5737 -0.5852 -6.5562 0.3342 -3.2957 -2.4066 5.1754" Properties=species:S:1:pos:R:3 pbc="T T T"
Dy -3.5225 -2.6355 0.2869
Dy -3.7017 -5.7992 2.8982
B -5.7483 -7.6751 1.4412
B -5.4175 -4.3586 2.0952
B -8.7825 -8.0561 4.4671
B -7.6269 -10.7762 3.5742
B -3.7225 -4.7724 5.0452
B -2.5680 -2.9106 2.4495
B -8.3882 -9.6107 4.9339
B -6.7975 -6.0688 3.3153
B -10.5233 -11.8923 5.6941
B -2.9499 -6.2789 0.6917
B -2.0612 -7.3157 2.0780
B -4.6563 -5.5240 0.7355
B -4.8596 -8.7120 2.8275
B -4.6111 -3.7356 3.6589
B -1.8067 -4.0761 1.0898
B -7.4273 -10.1309 2.0465
B 0.0000 0.0000 0.0000
B -5.5526 -8.6987 4.3473
B -9.7621 -13.0577 4.3344
B -5.9088 -7.1057 4.7016
B -7.1346 -6.8528 1.8794
B -7.2242 -8.4347 3.1851
```

Computed properties:
V, Å³ per atom: 8.82
DFT total energy, eV per atom: -5.848
Formation enthalpy at 0 K, eV per formula unit: 7.88
Space group: I4_1/amd (141)



> Among the records above, which one has the highest V?

BaTePd3